No. 1
DFT (PBE-GGA) results for crystalline HfGa2Tc2 at its relaxed geometry.

Unit cell a=6.208 b=6.208 c=6.208 alpha=143.64 beta=143.64 gamma=52.36
Sites, in units of the cell vectors:
Ga  0.604  0.604  0.000
Ga  0.396  0.396  0.000
Tc  0.750  0.250  0.500
Tc  0.250  0.750  0.500
Hf  0.000  0.000  0.000

Results
crystal system = tetragonal
excess energy over the best structure of this formula in the dataset = 24.3 kJ per mole of atoms
electronic total energy = -36.97 eV per cell

***

No. 2
DFT (PBE-GGA) results for crystalline HfGa2Tc2 at its relaxed geometry.

Unit cell a=7.029 b=7.029 c=3.197 alpha=90.00 beta=90.00 gamma=90.00
Sites, in units of the cell vectors:
Hf  0.000  0.000  0.000
Hf  0.500  0.500  0.000
Ga  0.872  0.628  0.000
Ga  0.628  0.128  0.000
Ga  0.128  0.372  0.000
Ga  0.372  0.872  0.000
Tc  0.169  0.669  0.500
Tc  0.831  0.331  0.500
Tc  0.331  0.169  0.500
Tc  0.669  0.831  0.500

Results
crystal system = tetragonal
excess energy over the best structure of this formula in the dataset = 0.0 kJ per mole of atoms
electronic total energy = -76.45 eV per cell